# GGA-PBE La6Ru2PtRh, optimized geometry
# - crystal system = triclinic
# - E_tot (eV per atom) = -6.68
# - energy of formation (eV per atom) = -0.53
data_La6Ru2PtRh
_space_group_name_H-M_alt 'P 1'
_space_group_IT_number 1
_cell_length_a 7.211
_cell_length_b 7.212
_cell_length_c 7.780
_cell_angle_alpha 62.42
_cell_angle_beta 62.42
_cell_angle_gamma 60.06
loop_
_space_group_symop_operation_xyz
'x,y,z'
loop_
_atom_site_label
_atom_site_type_symbol
_atom_site_fract_x
_atom_site_fract_y
_atom_site_fract_z
_atom_site_occupancy
La1 La 0.000 0.000 0.000 1
La2 La 0.143 0.844 0.505 1
La3 La 0.319 0.350 0.000 1
La4 La 0.494 0.177 0.505 1
La5 La 0.649 0.669 0.000 1
La6 La 0.826 0.494 0.505 1
Ru1 Ru 0.236 0.586 0.263 1
Ru2 Ru 0.734 0.085 0.766 1
Pt1 Pt 0.574 0.924 0.247 1
Rh1 Rh 0.075 0.425 0.744 1